Computed, not measured: a relaxed Al2CdSe crystal at the PBE level of DFT.

**Raw formation energy**: 3.2 kJ per mole of atoms
**Energy relative to the lowest polymorph listed for this composition**: 3.80 kcal/mol of atoms
**Crystal system**: tetragonal

Lattice parameters (Å, degrees): 3.344 3.344 7.232 90.00 90.00 90.00
Sites, in units of the cell vectors:
Al: 0.000 0.000 0.531
Al: 0.000 0.000 0.969
Cd: 0.500 0.500 0.250
Se: 0.500 0.500 0.750

Computed, not measured: a relaxed YRe3Ir crystal at the PBE level of DFT.

**Formation energy from the elements**: 1453 meV per atom
**Energy relative to the lowest polymorph listed for this composition**: 0.00 kcal/mol of atoms
**Crystal system**: cubic

Lattice parameters (Å, degrees): 4.765 4.765 4.765 90.00 90.00 90.00
Sites, in units of the cell vectors:
Ir: 0.000 0.000 0.000
Re: 0.500 0.000 0.000
Re: 0.000 0.000 0.500
Re: 0.000 0.500 0.000
Y: 0.500 0.500 0.500

Computed, not measured: a relaxed CaSm2Au2 crystal at the PBE level of DFT.

**Formation energy from the elements**: -676 meV per atom
**Crystal system**: tetragonal

Lattice parameters (Å, degrees): 3.889 8.368 8.368 90.00 90.00 90.00
Sites, in units of the cell vectors:
Ca: 0.000 0.000 0.000
Ca: 0.000 0.500 0.500
Sm: 0.500 0.658 0.842
Sm: 0.500 0.158 0.658
Sm: 0.500 0.342 0.158
Sm: 0.500 0.842 0.342
Au: 0.000 0.135 0.365
Au: 0.000 0.365 0.865
Au: 0.000 0.865 0.635
Au: 0.000 0.635 0.135

Computed, not measured: a relaxed Na5Pb3Br12 crystal at the PBE level of DFT.

**Raw formation energy**: -103.6 kJ per mole of atoms
**Crystal system**: cubic

Lattice parameters (Å, degrees): 15.195 15.195 15.195 109.47 109.47 109.47
Site moments in Bohr magnetons follow the coordinates.
Sites, in units of the cell vectors:
Br: 0.868 0.592 0.917  0.06
Br: 0.549 0.324 0.917  0.06
Br: 0.451 0.776 0.868  0.06
Br: 0.908 0.824 0.776  0.06
Br: 0.132 0.408 0.083  0.06
Br: 0.868 0.276 0.451  0.06
Br: 0.092 0.176 0.224  0.06
Br: 0.583 0.951 0.676  0.06
Br: 0.083 0.176 0.451  0.06
Br: 0.324 0.776 0.408  0.06
Br: 0.592 0.724 0.676  0.06
Br: 0.451 0.676 0.083  0.06
Br: 0.049 0.417 0.824  0.06
Br: 0.276 0.408 0.824  0.06
Br: 0.951 0.368 0.276  0.06
Br: 0.632 0.583 0.908  0.06
Br: 0.776 0.324 0.908  0.06
Br: 0.408 0.276 0.324  0.06
Br: 0.583 0.632 0.408  0.06
Br: 0.224 0.676 0.092  0.06
Br: 0.408 0.132 0.583  0.06
Br: 0.724 0.592 0.176  0.06
Br: 0.083 0.908 0.132  0.06
Br: 0.724 0.132 0.049  0.06
Br: 0.776 0.451 0.368  0.06
Br: 0.917 0.092 0.868  0.06
Br: 0.951 0.583 0.176  0.06
Br: 0.368 0.417 0.092  0.06
Br: 0.824 0.908 0.276  0.06
Br: 0.417 0.368 0.592  0.06
Br: 0.368 0.951 0.776  0.06
Br: 0.549 0.224 0.132  0.06
Br: 0.592 0.868 0.417  0.06
Br: 0.917 0.824 0.549  0.06
Br: 0.092 0.917 0.368  0.06
Br: 0.176 0.092 0.724  0.06
Br: 0.908 0.083 0.632  0.06
Br: 0.176 0.083 0.951  0.06
Br: 0.676 0.451 0.583  0.06
Br: 0.676 0.224 0.592  0.06
Br: 0.049 0.632 0.724  0.06
Br: 0.324 0.549 0.417  0.06
Br: 0.224 0.549 0.632  0.06
Br: 0.276 0.868 0.951  0.06
Br: 0.417 0.049 0.324  0.06
Br: 0.824 0.917 0.049  0.06
Br: 0.632 0.049 0.224  0.06
Br: 0.132 0.724 0.549  0.06
Pb: 0.375 0.625 0.250  0.00
Pb: 0.750 0.375 0.125  0.00
Pb: 0.125 0.250 0.875  0.00
Pb: 0.875 0.750 0.125  0.00
Pb: 0.375 0.750 0.625  0.00
Pb: 0.250 0.125 0.375  0.00
Pb: 0.125 0.875 0.750  0.00
Pb: 0.625 0.375 0.750  0.00
Pb: 0.750 0.875 0.625  0.00
Pb: 0.625 0.250 0.375  0.00
Pb: 0.250 0.625 0.875  0.00
Pb: 0.875 0.125 0.250  0.00
Na: 0.750 0.125 0.875  0.00
Na: 0.375 0.125 0.750  0.00
Na: 0.125 0.750 0.375  0.00
Na: 0.625 0.750 0.875  0.00
Na: 0.125 0.375 0.250  0.00
Na: 0.250 0.875 0.125  0.00
Na: 0.875 0.250 0.625  0.00
Na: 0.000 0.500 0.500  0.00
Na: 0.000 0.500 0.000  0.00
Na: 0.625 0.875 0.250  0.00
Na: 0.000 0.000 0.500  0.00
Na: 0.500 0.000 0.500  0.00
Na: 0.875 0.625 0.750  0.00
Na: 0.375 0.250 0.125  0.00
Na: 0.500 0.500 0.000  0.00
Na: 0.250 0.375 0.625  0.00
Na: 0.500 0.000 0.000  0.00
Na: 0.000 0.000 0.000  0.00
Na: 0.750 0.625 0.375  0.00
Na: 0.500 0.500 0.500  0.00

Computed, not measured: a relaxed Pr3Ni4Pd2 crystal at the PBE level of DFT.

**Formation energy from the elements**: -386 meV per atom
**Crystal system**: trigonal

Lattice parameters (Å, degrees): 4.177 4.177 24.067 90.00 90.00 120.00
Site moments in Bohr magnetons follow the coordinates.
Sites, in units of the cell vectors:
Ni: 0.667 0.333 0.667  -0.16
Ni: 0.667 0.333 0.502  0.14
Ni: 0.000 0.000 0.337  -0.16
Ni: 0.667 0.333 0.831  0.14
Ni: 0.667 0.333 0.996  -0.16
Ni: 0.667 0.333 0.338  -0.15
Ni: 0.000 0.000 0.667  -0.16
Ni: 0.000 0.000 0.995  -0.15
Pd: 0.667 0.333 0.145  0.00
Pd: 0.000 0.000 0.189  0.00
Pd: 0.000 0.000 0.831  0.04
Pd: 0.000 0.000 0.502  0.04
Pr: 0.333 0.667 0.746  0.00
Pr: 0.333 0.667 0.076  0.00
Pr: 0.333 0.667 0.587  0.00
Pr: 0.333 0.667 0.257  0.00
Pr: 0.333 0.667 0.417  0.00
Pr: 0.333 0.667 0.916  0.00

Computed, not measured: a relaxed Rb2TcI6Cl crystal at the PBE level of DFT.

**Raw formation energy**: -58.1 kJ per mole of atoms
**Crystal system**: tetragonal

Lattice parameters (Å, degrees): 8.851 8.851 8.400 58.21 58.21 90.00
Site moments in Bohr magnetons follow the coordinates.
Sites, in units of the cell vectors:
Tc: 0.000 0.000 0.000  2.39
Rb: 0.750 0.250 0.500  0.00
Rb: 0.250 0.750 0.500  0.00
I: 0.218 0.218 0.000  0.03
I: 0.782 0.782 0.000  0.03
I: 0.782 0.218 0.000  0.03
I: 0.218 0.782 0.000  0.03
I: 0.252 0.252 0.496  0.02
I: 0.748 0.748 0.504  0.02
Cl: 0.500 0.500 0.000  0.00

Computed, not measured: a relaxed BeTlCr2 crystal at the PBE level of DFT.

**Formation energy from the elements**: 839 meV per atom
**Energy relative to the lowest polymorph listed for this composition**: 9.58 kcal/mol of atoms
**Crystal system**: monoclinic

Lattice parameters (Å, degrees): 4.909 4.909 2.731 83.70 83.70 118.52
Site moments in Bohr magnetons follow the coordinates.
Sites, in units of the cell vectors:
Cr: 0.500 0.500 0.000  0.73
Cr: 0.000 0.000 0.000  0.73
Be: 0.000 0.500 0.500  -0.03
Tl: 0.500 0.000 0.500  -0.02

Computed, not measured: a relaxed LiPmLuTl crystal at the PBE level of DFT.

**Formation energy from the elements**: -178 meV per atom
**Crystal system**: cubic

Lattice parameters (Å, degrees): 5.304 5.304 5.304 60.00 60.00 60.00
Sites, in units of the cell vectors:
Lu: 0.250 0.250 0.250
Pm: 0.750 0.750 0.750
Tl: 0.500 0.500 0.500
Li: 0.000 0.000 0.000

Computed, not measured: a relaxed InB2S6 crystal at the PBE level of DFT.

**Raw formation energy**: -15.3 kJ per mole of atoms
**Crystal system**: monoclinic

Lattice parameters (Å, degrees): 6.143 8.228 8.228 68.95 79.53 79.53
Sites, in units of the cell vectors:
S: 0.304 0.448 0.922
S: 0.634 0.218 0.353
S: 0.696 0.552 0.078
S: 0.646 0.019 0.786
S: 0.804 0.922 0.448
S: 0.854 0.214 0.981
S: 0.134 0.353 0.218
S: 0.366 0.782 0.647
S: 0.866 0.647 0.782
S: 0.146 0.786 0.019
S: 0.196 0.078 0.552
S: 0.354 0.981 0.214
B: 0.655 0.847 0.682
B: 0.155 0.682 0.847
B: 0.845 0.318 0.153
B: 0.345 0.153 0.318
In: 0.750 0.886 0.114
In: 0.250 0.114 0.886

Computed, not measured: a relaxed ScSn2Au crystal at the PBE level of DFT.

**Formation energy from the elements**: 23 meV per atom
**Energy relative to the lowest polymorph listed for this composition**: 10.62 kcal/mol of atoms
**Crystal system**: trigonal

Lattice parameters (Å, degrees): 3.402 3.402 10.329 80.52 80.52 60.00
Sites, in units of the cell vectors:
Sc: 0.000 0.000 0.000
Sn: 0.904 0.904 0.289
Sn: 0.096 0.096 0.711
Au: 0.500 0.500 0.500

Computed, not measured: a relaxed TlIn4Pb5 crystal at the PBE level of DFT.

**Formation energy from the elements**: 39 meV per atom
**Energy relative to the lowest polymorph listed for this composition**: 0.62 kcal/mol of atoms
**Crystal system**: tetragonal

Lattice parameters (Å, degrees): 3.948 3.948 19.149 90.00 90.00 90.00
Sites, in units of the cell vectors:
In: 0.000 0.000 0.796
In: 0.000 0.000 0.600
In: 0.000 0.000 0.400
In: 0.000 0.000 0.204
Pb: 0.500 0.500 0.699
Pb: 0.500 0.500 0.301
Pb: 0.500 0.500 0.110
Pb: 0.500 0.500 0.890
Pb: 0.500 0.500 0.500
Tl: 0.000 0.000 0.000

Computed, not measured: a relaxed TbLuAg4 crystal at the PBE level of DFT.

**Formation energy from the elements**: -171 meV per atom
**Crystal system**: cubic

Lattice parameters (Å, degrees): 5.679 5.679 5.679 60.00 60.00 60.00
Sites, in units of the cell vectors:
Ag: 0.625 0.625 0.126
Ag: 0.625 0.126 0.625
Ag: 0.625 0.625 0.625
Ag: 0.126 0.625 0.625
Tb: 0.000 0.000 0.000
Lu: 0.250 0.250 0.250

Computed, not measured: a relaxed Ho2SnOs crystal at the PBE level of DFT.

**Formation energy from the elements**: -473 meV per atom
**Energy relative to the lowest polymorph listed for this composition**: 0.00 kcal/mol of atoms
**Crystal system**: tetragonal

Lattice parameters (Å, degrees): 3.379 3.379 8.151 90.00 90.00 90.00
Sites, in units of the cell vectors:
Sn: 0.500 0.500 0.500
Os: 0.500 0.500 0.000
Ho: 0.000 0.000 0.205
Ho: 0.000 0.000 0.795

Computed, not measured: a relaxed TlPd6Au5 crystal at the PBE level of DFT.

**Formation energy from the elements**: -130 meV per atom
**Energy relative to the lowest polymorph listed for this composition**: 0.00 kcal/mol of atoms
**Crystal system**: monoclinic

Lattice parameters (Å, degrees): 4.760 6.104 7.127 90.00 98.98 90.00
Sites, in units of the cell vectors:
Pd: 0.837 0.749 0.666
Pd: 0.500 0.751 0.000
Pd: 0.163 0.749 0.334
Pd: 0.500 0.249 0.000
Pd: 0.163 0.251 0.334
Pd: 0.837 0.251 0.666
Au: 0.337 0.500 0.668
Au: 0.338 0.000 0.662
Au: 0.663 0.500 0.332
Au: 0.662 0.000 0.338
Au: 0.000 0.500 0.000
Tl: 0.000 0.000 0.000

Computed, not measured: a relaxed CeTl3Sb3Se8 crystal at the PBE level of DFT.

**Raw formation energy**: -58.9 kJ per mole of atoms
**Crystal system**: trigonal

Lattice parameters (Å, degrees): 8.406 8.406 9.075 117.60 90.00 120.00
Site moments in Bohr magnetons follow the coordinates.
Sites, in units of the cell vectors:
Se: 0.263 0.526 0.289  0.00
Se: 0.765 0.029 0.294  -0.01
Se: 0.235 0.971 0.706  -0.01
Se: 0.737 0.971 0.706  -0.01
Se: 0.235 0.469 0.706  -0.01
Se: 0.765 0.531 0.294  -0.01
Se: 0.263 0.029 0.294  -0.01
Se: 0.737 0.474 0.711  0.00
Ce: 0.000 0.000 0.500  0.16
Tl: 0.000 0.500 0.000  0.00
Tl: 0.000 0.000 0.000  0.00
Tl: 0.500 0.500 0.000  0.00
Sb: 0.000 0.500 0.500  0.00
Sb: 0.500 0.500 0.500  0.00
Sb: 0.500 0.000 0.500  0.00

Computed, not measured: a relaxed PuMgAu11 crystal at the PBE level of DFT.

**Formation energy from the elements**: -205 meV per atom
**Crystal system**: monoclinic

Lattice parameters (Å, degrees): 5.595 7.385 7.223 81.51 67.21 67.60
Site moments in Bohr magnetons follow the coordinates.
Sites, in units of the cell vectors:
Au: 0.505 0.217 0.788  0.00
Au: 0.355 0.652 0.659  0.00
Au: 0.014 0.652 0.341  0.00
Au: 0.495 0.783 0.212  0.00
Au: 0.707 0.783 0.788  0.00
Au: 0.000 0.000 0.500  0.00
Au: 0.645 0.348 0.341  0.00
Au: 0.293 0.217 0.212  0.00
Au: 0.986 0.348 0.659  0.00
Au: 0.000 0.500 0.000  0.01
Au: 0.500 0.000 0.500  0.00
Mg: 0.500 0.500 0.000  0.00
Pu: 0.000 0.000 0.000  5.39

Computed, not measured: a relaxed Ni2Pt3 crystal at the PBE level of DFT.

**Formation energy from the elements**: -64 meV per atom
**Energy relative to the lowest polymorph listed for this composition**: 0.00 kcal/mol of atoms
**Crystal system**: triclinic

Lattice parameters (Å, degrees): 4.678 7.171 4.699 102.89 99.04 109.65
Site moments in Bohr magnetons follow the coordinates.
Sites, in units of the cell vectors:
Ni: 0.799 0.802 0.401  0.79
Ni: 0.801 0.298 0.899  0.79
Ni: 0.997 0.999 0.002  0.83
Ni: 0.603 0.101 0.298  0.83
Pt: 0.206 0.712 0.112  0.33
Pt: 0.394 0.388 0.188  0.33
Pt: 0.608 0.606 0.804  0.28
Pt: 0.992 0.494 0.496  0.28
Pt: 0.181 0.185 0.589  0.36
Pt: 0.419 0.915 0.711  0.36

Computed, not measured: a relaxed Al12GaFe6 crystal at the PBE level of DFT.

**Formation energy from the elements**: -133 meV per atom
**Crystal system**: cubic

Lattice parameters (Å, degrees): 7.045 7.045 7.045 109.47 109.47 109.47
Site moments in Bohr magnetons follow the coordinates.
Sites, in units of the cell vectors:
Fe: 0.138 0.638 0.500  1.23
Fe: 0.362 0.500 0.862  1.23
Fe: 0.638 0.500 0.138  1.23
Fe: 0.862 0.362 0.500  1.23
Fe: 0.500 0.138 0.638  1.23
Fe: 0.500 0.862 0.362  1.23
Al: 0.092 0.816 0.277  -0.02
Al: 0.539 0.816 0.723  -0.02
Al: 0.908 0.184 0.723  -0.02
Al: 0.461 0.184 0.277  -0.02
Al: 0.723 0.539 0.816  -0.02
Al: 0.277 0.461 0.184  -0.02
Al: 0.723 0.908 0.184  -0.02
Al: 0.184 0.723 0.908  -0.02
Al: 0.816 0.277 0.092  -0.02
Al: 0.277 0.092 0.816  -0.02
Al: 0.184 0.277 0.461  -0.02
Al: 0.816 0.723 0.539  -0.02
Ga: 0.000 0.000 0.000  0.00

Computed, not measured: a relaxed InGa2Ag2 crystal at the PBE level of DFT.

**Formation energy from the elements**: 36 meV per atom
**Energy relative to the lowest polymorph listed for this composition**: 0.00 kcal/mol of atoms
**Crystal system**: tetragonal

Lattice parameters (Å, degrees): 8.301 8.301 2.896 90.00 90.00 90.00
Sites, in units of the cell vectors:
Ga: 0.119 0.381 0.000
Ga: 0.381 0.881 0.000
Ga: 0.619 0.119 0.000
Ga: 0.881 0.619 0.000
Ag: 0.678 0.822 0.500
Ag: 0.178 0.678 0.500
Ag: 0.822 0.322 0.500
Ag: 0.322 0.178 0.500
In: 0.000 0.000 0.000
In: 0.500 0.500 0.000

Computed, not measured: a relaxed CaAc2Pt crystal at the PBE level of DFT.

**Formation energy from the elements**: -569 meV per atom
**Energy relative to the lowest polymorph listed for this composition**: 0.20 kcal/mol of atoms
**Crystal system**: trigonal

Lattice parameters (Å, degrees): 4.356 4.356 10.361 77.87 77.87 60.00
Sites, in units of the cell vectors:
Ac: 0.277 0.277 0.168
Ac: 0.056 0.056 0.833
Pt: 0.666 0.666 0.001
Ca: 0.501 0.501 0.498

| no. | raw total energy (eV/atom) | total moment (μB/cell) |
| --- | --- | --- |
| 1 | -2.938 | 0.00 |
| 2 | -9.081 | 0.00 |
| 3 | -4.275 | 0.00 |
| 4 | -2.963 | 3.84 |
| 5 | -5.703 | 0.53 |
| 6 | -2.948 | 3.10 |
| 7 | -5.496 | 1.45 |
| 8 | -3.566 | 0.00 |
| 9 | -4.698 | 0.00 |
| 10 | -4.381 | 0.00 |
| 11 | -3.147 | 0.00 |
| 12 | -3.597 | 0.01 |
| 13 | -6.570 | 0.00 |
| 14 | -4.289 | 0.00 |
| 15 | -4.162 | 0.11 |
| 16 | -4.204 | 5.56 |
| 17 | -6.001 | 5.03 |
| 18 | -5.328 | 6.74 |
| 19 | -2.862 | 0.00 |
| 20 | -4.634 | 0.00 |